Entry from Alexandria: a relaxed PWI3 crystal (PBE).

Values from the calculation:
relative energy among the computed polymorphs: 0.000 kcal/mol of atoms
symmetry: Pm-3m, No. 221
total magnetic moment: 0.00 μB per cell

```
PWI3
1.0
-4.8151 1.2509 2.0187
-2.3446 -1.7782 -4.4906
-0.3777 -4.9090 2.1410
I W P
3 1 1
direct
0.0000 0.5000 0.0000 I
0.5000 0.0000 0.0000 I
0.0000 0.0000 0.5000 I
0.0000 0.0000 0.0000 W
0.5000 0.5000 0.5000 P
```